Record 1
The following is a DFT calculation (PBE) of a geometry-optimized CsIn4Hg2Bi structure.

a b c (Å): 5.2647 5.2647 9.7182
angles (deg): 90.00 90.00 90.00
Closest atoms and distances in Å follow each position.
Element x y z (fractional)
Cs (0.0000, 0.0000, 0.0000)  8 In 3.99, 8 Hg 4.00
In (0.0000, 0.5000, 0.3085)  2 Hg 3.05, 2 Bi 3.22
In (0.0000, 0.5000, 0.6915)  2 Hg 3.05, 2 Bi 3.22
In (0.5000, 0.0000, 0.3085)  2 Hg 3.05, 2 Bi 3.22
In (0.5000, 0.0000, 0.6915)  2 Hg 3.05, 2 Bi 3.22
Hg (0.5000, 0.5000, 0.1497)  1 Hg 2.91, 4 In 3.05
Hg (0.5000, 0.5000, 0.8503)  1 Hg 2.91, 4 In 3.05
Bi (0.0000, 0.0000, 0.5000)  8 In 3.22

Computed properties:
The energy is -16.866 eV per cell. The energy relative to the elements comes out at -0.072 eV/atom. The space group is No. 123. The theoretical density comes out at 7412 kg/m3.

=====

Record 2
The following is a DFT calculation (PBE) of a geometry-optimized BaAl2Te structure.

a b c (Å): 4.7686 5.5429 5.1547
angles (deg): 90.00 91.36 90.00
Closest atoms and distances in Å follow each position.
Element x y z (fractional)
Ba (0.0000, 0.0000, 0.0000)  4 Te 3.47-3.55, 4 Al 3.67
Al (0.2553, 0.5000, 0.6020)  2 Al 2.58-2.63
Al (0.7447, 0.5000, 0.3980)  2 Al 2.58-2.63
Te (0.5000, 0.0000, 0.5000)  4 Al 3.06

Computed properties:
The energy is -13.756 eV per cell. The space group is No. 10. The theoretical density comes out at 3888 kg/m3. The calculation puts the formation energy (no corrections) at -1.21 eV/f.u.

=====

Record 3
The following is a DFT calculation (PBE) of a geometry-optimized MgAl2Sb structure.

a b c (Å): 5.4247 5.4247 3.1589
angles (deg): 90.00 90.00 114.11
Closest atoms and distances in Å follow each position.
Element x y z (fractional)
Mg (0.0000, 0.0000, 0.0000)  2 Sb 2.95, 8 Al 3.14, 2 Mg 3.16
Al (0.0000, 0.5000, 0.5000)  4 Al 2.95-3.16, 4 Sb 3.14, 4 Mg 3.14
Al (0.5000, 0.0000, 0.5000)  4 Al 2.95-3.16, 4 Sb 3.14, 4 Mg 3.14
Sb (0.5000, 0.5000, 0.0000)  2 Mg 2.95, 8 Al 3.14, 2 Sb 3.16

Computed properties:
The energy is -12.759 eV per cell. The space group is No. 65. The theoretical density comes out at 3915 kg/m3. The calculation puts the formation energy (no corrections) at 0.44 eV/f.u.

=====

Record 4
The following is a DFT calculation (PBE) of a geometry-optimized ZnIrI2O structure.

a b c (Å): 5.5320 5.5320 3.5159
angles (deg): 90.00 90.00 90.00
Closest atoms and distances in Å follow each position.
Element x y z (fractional)
Zn (0.0000, 0.0000, 0.0000)  2 O 1.76
Ir (0.5000, 0.5000, 0.5000)  8 I 3.28, 2 Ir 3.52
I (0.0000, 0.5000, 0.0000)  2 Zn 2.77
I (0.5000, 0.0000, 0.0000)  2 Zn 2.77
O (0.0000, 0.0000, 0.5000)  2 Zn 1.76

Computed properties:
The energy above the most stable polymorph in this dataset comes out at 3.02 eV per formula unit. The energy is -15.062 eV per cell. The space group is No. 123. The theoretical density comes out at 8140 kg/m3. The calculation puts the formation energy (no corrections) at 3.13 eV/f.u.